DFT (PBE-GGA) results for a geometry-optimized La2YSc structure.

Calculated values
Crystal system   tetragonal
E   -5.6131 eV/atom
ΔH_f (0 K)   4.8 kJ per mole of atoms
Theoretical density   5.3 g/cm3

```
data_La2YSc
_chemical_formula_sum 'La2 Y1 Sc1'
_cell_length_a 5.183
_cell_length_b 5.183
_cell_length_c 4.825
_cell_angle_alpha 90.00
_cell_angle_beta 90.00
_cell_angle_gamma 90.00
_symmetry_space_group_name_H-M 'P 1'
_symmetry_Int_Tables_number 1
loop_
_symmetry_equiv_pos_as_xyz
'x,y,z'
loop_
_atom_site_label
_atom_site_fract_x
_atom_site_fract_y
_atom_site_fract_z
La1 0.000 0.500 0.000
La2 0.500 0.000 0.000
Y1 0.000 0.000 0.500
Sc1 0.500 0.500 0.500
```



DFT (PBE-GGA) results for a geometry-optimized Ca3NF2 structure.

Calculated values
Crystal system   orthorhombic
E   -5.2369 eV/atom
Theoretical density   2.1 g/cm3

```
data_Ca3NF2
_chemical_formula_sum 'Ca6 N2 F4'
_cell_length_a 8.597
_cell_length_b 8.597
_cell_length_c 4.772
_cell_angle_alpha 90.00
_cell_angle_beta 90.00
_cell_angle_gamma 50.90
_symmetry_space_group_name_H-M 'P 1'
_symmetry_Int_Tables_number 1
loop_
_symmetry_equiv_pos_as_xyz
'x,y,z'
loop_
_atom_site_label
_atom_site_fract_x
_atom_site_fract_y
_atom_site_fract_z
Ca1 0.145 0.855 0.750
Ca2 0.190 0.556 0.250
Ca3 0.444 0.810 0.250
Ca4 0.556 0.190 0.750
Ca5 0.810 0.444 0.750
Ca6 0.855 0.145 0.250
N1 0.176 0.824 0.250
N2 0.824 0.176 0.750
F1 0.256 0.515 0.750
F2 0.485 0.744 0.750
F3 0.515 0.256 0.250
F4 0.744 0.485 0.250
```



DFT (PBE-GGA) results for a geometry-optimized In9Ag17 structure.

Calculated values
Crystal system   monoclinic
E   -2.8345 eV/atom
ΔH_f (0 K)   -2.1 kJ per mole of atoms
Theoretical density   9.3 g/cm3

```
data_In9Ag17
_chemical_formula_sum 'In18 Ag34'
_cell_length_a 10.080
_cell_length_b 10.080
_cell_length_c 10.115
_cell_angle_alpha 90.38
_cell_angle_beta 90.38
_cell_angle_gamma 89.71
_symmetry_space_group_name_H-M 'P 1'
_symmetry_Int_Tables_number 1
loop_
_symmetry_equiv_pos_as_xyz
'x,y,z'
loop_
_atom_site_label
_atom_site_fract_x
_atom_site_fract_y
_atom_site_fract_z
In1 0.000 0.000 0.000
In2 0.038 0.680 0.969
In3 0.055 0.303 0.346
In4 0.070 0.070 0.580
In5 0.303 0.055 0.346
In6 0.305 0.305 0.594
In7 0.352 0.982 0.938
In8 0.364 0.708 0.662
In9 0.373 0.373 0.007
In10 0.375 0.635 0.273
In11 0.635 0.375 0.273
In12 0.640 0.983 0.647
In13 0.680 0.038 0.969
In14 0.705 0.982 0.298
In15 0.708 0.364 0.662
In16 0.982 0.352 0.938
In17 0.982 0.705 0.298
In18 0.983 0.640 0.647
Ag1 0.004 0.004 0.292
Ag2 0.007 0.352 0.641
Ag3 0.139 0.864 0.770
Ag4 0.148 0.494 0.152
Ag5 0.181 0.823 0.468
Ag6 0.184 0.184 0.114
Ag7 0.184 0.536 0.469
Ag8 0.185 0.185 0.825
Ag9 0.205 0.492 0.791
Ag10 0.206 0.850 0.165
Ag11 0.324 0.681 0.967
Ag12 0.345 0.345 0.304
Ag13 0.352 0.007 0.641
Ag14 0.483 0.847 0.440
Ag15 0.492 0.205 0.791
Ag16 0.494 0.148 0.152
Ag17 0.499 0.499 0.498
Ag18 0.503 0.854 0.144
Ag19 0.504 0.504 0.795
Ag20 0.536 0.184 0.469
Ag21 0.573 0.786 0.863
Ag22 0.580 0.580 0.069
Ag23 0.681 0.324 0.967
Ag24 0.682 0.682 0.325
Ag25 0.682 0.682 0.612
Ag26 0.786 0.573 0.863
Ag27 0.789 0.789 0.079
Ag28 0.823 0.181 0.468
Ag29 0.847 0.483 0.440
Ag30 0.850 0.206 0.165
Ag31 0.850 0.850 0.801
Ag32 0.854 0.503 0.144
Ag33 0.864 0.139 0.770
Ag34 0.872 0.872 0.512
```



DFT (PBE-GGA) results for a geometry-optimized MgAg3Mo structure.

Calculated values
Crystal system   cubic
E   -2.8535 eV/atom
ΔH_f (0 K)   129.5 kJ per mole of atoms
Theoretical density   5.4 g/cm3

```
data_MgAg3Mo
_chemical_formula_sum 'Mg1 Ag3 Mo1'
_cell_length_a 5.161
_cell_length_b 5.161
_cell_length_c 5.161
_cell_angle_alpha 90.00
_cell_angle_beta 90.00
_cell_angle_gamma 90.00
_symmetry_space_group_name_H-M 'P 1'
_symmetry_Int_Tables_number 1
loop_
_symmetry_equiv_pos_as_xyz
'x,y,z'
loop_
_atom_site_label
_atom_site_fract_x
_atom_site_fract_y
_atom_site_fract_z
Mg1 0.000 0.000 0.000
Ag1 0.000 0.500 0.500
Ag2 0.500 0.000 0.500
Ag3 0.500 0.500 0.000
Mo1 0.500 0.500 0.500
```